(1)
A plane-wave DFT calculation with PBE-GGA was carried out for Sm4InTe3 after structural relaxation.

a = 8.9838 Å, b = 12.6080 Å, c = 4.4303 Å
α = 90.00°, β = 90.00°, γ = 90.00°
Space group Cmmm (No. 65)
Symmetry-distinct sites (fractional):
Sm: 0.0000 0.2447 0.0000
Sm: 0.2445 0.0000 0.5000
In: 0.0000 0.0000 0.0000
Te: 0.0000 0.5000 0.0000
Te: 0.2500 0.2500 0.5000

Uncorrected energy   -80.7 eV/cell
Uncorrected formation energy   -112.6 kJ/mol of atoms


(2)
A plane-wave DFT calculation with PBE-GGA was carried out for Sm2In2Te7 after structural relaxation.

a = 9.3441 Å, b = 13.4032 Å, c = 7.7205 Å
α = 90.00°, β = 112.18°, γ = 90.00°
Space group C2/m (No. 12)
Symmetry-distinct sites (fractional):
Sm: 0.0000 0.1969 0.0000
In: 0.2411 0.0000 0.6265
Te: 0.0000 0.5000 0.5000
Te: 0.1590 0.0000 0.2262
Te: 0.2049 0.1870 0.7563

Uncorrected energy   -87.8 eV/cell
Uncorrected formation energy   -61.1 kJ/mol of atoms


(3)
A plane-wave DFT calculation with PBE-GGA was carried out for SmIn3Te6 after structural relaxation.

a = 12.2444 Å, b = 4.4210 Å, c = 12.9073 Å
α = 90.00°, β = 111.33°, γ = 90.00°
Space group P2_1/m (No. 11)
Symmetry-distinct sites (fractional):
Sm: 0.2063 0.2500 0.0517
In: 0.0269 0.7500 0.2969
In: 0.3356 0.2500 0.4397
In: 0.4015 0.7500 0.8296
Te: 0.0348 0.7500 0.9015
Te: 0.1047 0.2500 0.4575
Te: 0.2319 0.2500 0.8037
Te: 0.2406 0.7500 0.2498
Te: 0.4088 0.7500 0.0678
Te: 0.4379 0.7500 0.6041

Uncorrected energy   -73.9 eV/cell
Uncorrected formation energy   -49.9 kJ/mol of atoms


(4)
A plane-wave DFT calculation with PBE-GGA was carried out for SmIn5Te4 after structural relaxation.

a = 18.4465 Å, b = 4.4703 Å, c = 9.1709 Å
α = 90.00°, β = 113.80°, γ = 90.00°
Space group C2/m (No. 12)
Symmetry-distinct sites (fractional):
Sm: 0.0000 0.0000 0.0000
In: 0.0000 0.0000 0.5000
In: 0.1346 0.5000 0.4776
In: 0.2180 0.5000 0.0852
Te: 0.0519 0.5000 0.8191
Te: 0.1739 0.0000 0.2789

Uncorrected energy   -71.6 eV/cell
Uncorrected formation energy   -46.7 kJ/mol of atoms


(5)
A plane-wave DFT calculation with PBE-GGA was carried out for SmInTe3 after structural relaxation.

a = 8.6035 Å, b = 12.0796 Å, c = 7.6930 Å
α = 90.00°, β = 90.00°, γ = 90.00°
Space group Pnma (No. 62)
Symmetry-distinct sites (fractional):
Sm: 0.0000 0.0000 0.0000
In: 0.1625 0.2500 0.4651
Te: 0.0060 0.2500 0.1341
Te: 0.1789 0.0552 0.6575

Uncorrected energy   -82.4 eV/cell
Uncorrected formation energy   -71.5 kJ/mol of atoms


(6)
A plane-wave DFT calculation with PBE-GGA was carried out for Sm6InTe3 after structural relaxation.

a = 12.4564 Å, b = 4.1482 Å, c = 13.0219 Å
α = 90.00°, β = 104.91°, γ = 90.00°
Space group P2_1/m (No. 11)
Symmetry-distinct sites (fractional):
Sm: 0.0078 0.2500 0.3515
Sm: 0.0948 0.2500 0.8981
Sm: 0.2458 0.7500 0.2906
Sm: 0.2941 0.7500 0.7506
Sm: 0.3803 0.2500 0.5329
Sm: 0.4290 0.7500 0.1128
In: 0.4582 0.2500 0.3090
Te: 0.0972 0.2500 0.1415
Te: 0.1706 0.7500 0.5056
Te: 0.3460 0.2500 0.9347

Uncorrected energy   -98.0 eV/cell
Uncorrected formation energy   -82.2 kJ/mol of atoms